Record 1
Material: Pm4ErTm7
Method: DFT, GGA-PBE
State: relaxed

abc: 5.843 11.575 6.693
angles: 83.65 64.12 75.38
Site moments in Bohr magnetons follow the coordinates.
Fractional coordinates of all 12 atoms:
1 Tm 0.632 0.507 0.229  0.00
2 Tm 0.500 0.000 0.000  0.08
3 Tm 0.070 0.692 0.168  0.00
4 Tm 0.212 0.076 0.500  0.01
5 Tm 0.930 0.308 0.832  0.00
6 Tm 0.788 0.924 0.500  0.01
7 Pm 0.641 0.223 0.496  0.00
8 Pm 0.359 0.777 0.504  0.00
9 Pm 0.219 0.336 0.226  0.00
10 Er 0.000 0.000 0.000  0.07
11 Tm 0.368 0.493 0.771  0.00
12 Pm 0.781 0.664 0.774  0.00

Calculated values
- Fermi-level density of states: 1.667 states/eV/atom
- Symmetry: No. 12
- Total magnetization: 0.2 μB/f.u.
- Energy of formation: 0.28 eV per atom
- VASP energy: -4.2905 eV/atom
- ρ: 8131 kg/m3


Record 2
Material: Sm6Ge3TeP2
Method: DFT, GGA-PBE
State: relaxed

abc: 4.131 8.670 9.521
angles: 104.63 102.53 90.00
Fractional coordinates of all 12 atoms:
1 Sm 0.330 0.427 0.661
2 Sm 0.670 0.573 0.339
3 P 0.168 0.334 0.335
4 Ge 0.164 0.831 0.327
5 Sm 0.005 0.266 0.009
6 Sm 0.672 0.098 0.344
7 Ge 0.500 0.500 0.000
8 Te 0.500 0.000 0.000
9 Sm 0.995 0.734 0.991
10 P 0.832 0.666 0.665
11 Ge 0.836 0.169 0.673
12 Sm 0.328 0.902 0.656

Calculated values
- Fermi-level density of states: 0.618 states/eV/atom
- Symmetry: No. 12
- Total magnetization: 0.0 μB/f.u.
- Raw formation energy: -1.123 eV per atom
- VASP energy: -5.8005 eV/atom
- ρ: 6762 kg/m3


Record 3
Material: PrHo3S
Method: DFT, GGA-PBE
State: relaxed

abc: 5.311 5.311 5.311
angles: 90.00 90.00 90.00
Fractional coordinates of all 5 atoms:
1 Ho 0.000 0.000 0.500
2 Ho 0.000 0.500 0.000
3 Ho 0.500 0.000 0.000
4 Pr 0.500 0.500 0.500
5 S 0.000 0.000 0.000

Calculated values
- Fermi-level density of states: 1.844 states/eV/atom
- Symmetry: No. 221
- Total magnetization: 0.0 μB/f.u.
- Raw formation energy: -0.651 eV per atom
- VASP energy: -5.1791 eV/atom
- ρ: 7403 kg/m3